[1]
# GGA-PBE PuCdTcRh, relaxed
data_PuCdTcRh
_cell_length_a 6.611
_cell_length_b 6.611
_cell_length_c 6.611
_cell_angle_alpha 90.00
_cell_angle_beta 90.00
_cell_angle_gamma 90.00
_symmetry_space_group_name_H-M 'F -4 3 m'
_symmetry_Int_Tables_number 216
_symmetry_space_group_name_Hall 'F -4 2 3'
loop_
_atom_site_label
_atom_site_type_symbol
_atom_site_fract_x
_atom_site_fract_y
_atom_site_fract_z
Pu1 Pu 0.000 0.000 0.000
Cd1 Cd 0.000 0.000 0.500
Tc1 Tc 0.250 0.250 0.750
Rh1 Rh 0.250 0.250 0.250
# ΔH_f (0 K) = -0.068 eV/atom
# M_tot = 0.91 μB per atom
# Energy = -132.95 eV/cell
# Calculated volume = 289 Å³/cell
# DOS at the Fermi energy = 6.04 states/eV/f.u.

[2]
# GGA-PBE RbBaHoCl6, relaxed
data_RbBaHoCl6
_cell_length_a 7.6751
_cell_length_b 7.6751
_cell_length_c 13.4113
_cell_angle_alpha 90.00
_cell_angle_beta 90.00
_cell_angle_gamma 120.00
_symmetry_space_group_name_H-M 'P -3 1 c'
_symmetry_Int_Tables_number 163
_symmetry_space_group_name_Hall '-P 3 2c'
loop_
_atom_site_label
_atom_site_type_symbol
_atom_site_fract_x
_atom_site_fract_y
_atom_site_fract_z
Rb1 Rb 0.0000 0.0000 0.0000
Ba1 Ba 0.3333 0.6667 0.2500
Ho1 Ho 0.3333 0.6667 0.7500
Cl1 Cl 0.0437 0.3891 0.6377
# Formation energy from raw total energies = -20.821 eV/f.u.
# M_tot = 0.00 μB per atom
# Energy = -78.74 eV/cell
# Calculated volume = 684 Å³/cell
# DOS at the Fermi energy = 0.00 states/eV/f.u.

[3]
# GGA-PBE Sc2SiP, relaxed
data_Sc2SiP
_cell_length_a 3.213
_cell_length_b 3.213
_cell_length_c 7.104
_cell_angle_alpha 90.00
_cell_angle_beta 90.00
_cell_angle_gamma 90.00
_symmetry_space_group_name_H-M 'P 4 m m'
_symmetry_Int_Tables_number 99
_symmetry_space_group_name_Hall 'P 4 -2'
loop_
_atom_site_label
_atom_site_type_symbol
_atom_site_fract_x
_atom_site_fract_y
_atom_site_fract_z
Sc1 Sc 0.000 0.000 0.000
Sc2 Sc 0.500 0.500 0.379
Si1 Si 0.000 0.000 0.616
P1 P 0.500 0.500 0.779
# Formation energy from raw total energies = -1.587 eV/f.u.
# M_tot = 0.00 μB per atom
# Energy = -25.08 eV/cell
# Calculated volume = 73 Å³/cell
# ΔE to the lowest computed polymorph = 0.754 eV/atom
# DOS at the Fermi energy = 3.48 states/eV/f.u.